## AlOs2Cl (PBE)

Data for crystalline AlOs2Cl at its relaxed geometry.

Summary:
- Crystal system: tetragonal
- Energy above the most stable polymorph in this dataset: 506 kJ/mol of formula units
- DFT total energy: -5.6420 eV per atom
- Raw formation energy: 5.481 eV per formula unit
- Calculated volume: 155.4 Å³/cell

Lattice parameters (Å, degrees): 5.623 5.623 6.322 63.60 63.60 90.00
Fractional coordinates of all 8 atoms:
Os 0.659 0.125 0.250
Os 0.091 0.625 0.250
Os 0.375 0.341 0.750
Os 0.875 0.909 0.750
Al 0.500 0.500 0.000
Al 0.250 0.750 0.500
Cl 0.000 0.000 0.000
Cl 0.750 0.250 0.500

---

## AlOsCl2 (PBE)

Data for crystalline AlOsCl2 at its relaxed geometry.

Summary:
- Crystal system: orthorhombic
- Energy above the most stable polymorph in this dataset: 303 kJ/mol of formula units
- DFT total energy: -4.1933 eV per atom
- Raw formation energy: 1.892 eV per formula unit
- Calculated volume: 74.4 Å³/cell

Lattice parameters (Å, degrees): 3.136 3.136 9.193 90.00 90.00 124.61
Fractional coordinates of all 4 atoms:
Os 0.500 0.500 0.250
Al 0.500 0.500 0.750
Cl 0.000 0.000 0.042
Cl 0.000 0.000 0.458

---

## AlOsCl2 (PBE)

Data for crystalline AlOsCl2 at its relaxed geometry.

Summary:
- Crystal system: orthorhombic
- Energy above the most stable polymorph in this dataset: 497 kJ/mol of formula units
- DFT total energy: -3.6902 eV per atom
- Raw formation energy: 3.905 eV per formula unit
- Calculated volume: 68.5 Å³/cell

Lattice parameters (Å, degrees): 4.894 4.894 2.952 90.00 90.00 104.22
Site moments in Bohr magnetons follow the coordinates.
Fractional coordinates of all 4 atoms:
Os 0.500 0.000 0.500  0.60
Al 0.000 0.500 0.500  0.00
Cl 0.000 0.000 0.000  0.02
Cl 0.500 0.500 0.000  0.02

---

## AlOsCl2 (PBE)

Data for crystalline AlOsCl2 at its relaxed geometry.

Summary:
- Crystal system: trigonal
- Energy above the most stable polymorph in this dataset: 35 kJ/mol of formula units
- DFT total energy: -4.8869 eV per atom
- Raw formation energy: -0.882 eV per formula unit
- Calculated volume: 77.8 Å³/cell

Lattice parameters (Å, degrees): 9.330 9.330 9.330 19.33 19.33 19.33
Fractional coordinates of all 4 atoms:
Os 0.510 0.510 0.510
Al 0.242 0.242 0.242
Cl 0.970 0.970 0.970
Cl 0.778 0.778 0.778

---

## AlPOsCl2 (PBE)

Data for crystalline AlPOsCl2 at its relaxed geometry.

Summary:
- Crystal system: tetragonal
- Energy above the most stable polymorph in this dataset: 0 kJ/mol of formula units
- DFT total energy: -4.4565 eV per atom
- Raw formation energy: 1.793 eV per formula unit
- Calculated volume: 113.2 Å³/cell

Lattice parameters (Å, degrees): 5.029 5.029 4.478 90.00 90.00 90.00
Fractional coordinates of all 5 atoms:
P 0.000 0.000 0.500
Os 0.000 0.000 0.000
Al 0.500 0.500 0.500
Cl 0.000 0.500 0.000
Cl 0.500 0.000 0.000

---

## AlP2OsCl (PBE)

Data for crystalline AlP2OsCl at its relaxed geometry.

Summary:
- Crystal system: tetragonal
- Energy above the most stable polymorph in this dataset: 331 kJ/mol of formula units
- DFT total energy: -4.3568 eV per atom
- Raw formation energy: 5.855 eV per formula unit
- Calculated volume: 95.2 Å³/cell

Lattice parameters (Å, degrees): 4.662 4.662 4.381 90.00 90.00 90.00
Site moments in Bohr magnetons follow the coordinates.
Fractional coordinates of all 5 atoms:
P 0.000 0.500 0.000  -0.08
P 0.500 0.000 0.000  -0.08
Os 0.500 0.500 0.500  2.13
Al 0.000 0.000 0.000  0.00
Cl 0.000 0.000 0.500  0.05

---

## AlPOsCl2 (PBE)

Data for crystalline AlPOsCl2 at its relaxed geometry.

Summary:
- Crystal system: tetragonal
- Energy above the most stable polymorph in this dataset: 227 kJ/mol of formula units
- DFT total energy: -3.9862 eV per atom
- Raw formation energy: 4.144 eV per formula unit
- Calculated volume: 101.6 Å³/cell

Lattice parameters (Å, degrees): 4.431 4.431 5.176 90.00 90.00 90.00
Site moments in Bohr magnetons follow the coordinates.
Fractional coordinates of all 5 atoms:
P 0.000 0.000 0.500  -0.04
Os 0.500 0.500 0.500  2.83
Al 0.000 0.000 0.000  0.00
Cl 0.000 0.500 0.000  0.05
Cl 0.500 0.000 0.000  0.05

---

## AlP2OsCl (PBE)

Data for crystalline AlP2OsCl at its relaxed geometry.

Summary:
- Crystal system: tetragonal
- Energy above the most stable polymorph in this dataset: 0 kJ/mol of formula units
- DFT total energy: -5.0423 eV per atom
- Raw formation energy: 2.427 eV per formula unit
- Calculated volume: 110.1 Å³/cell

Lattice parameters (Å, degrees): 4.518 4.518 5.391 90.00 90.00 90.00
Fractional coordinates of all 5 atoms:
P 0.000 0.500 0.000
P 0.500 0.000 0.000
Os 0.000 0.000 0.000
Al 0.500 0.500 0.500
Cl 0.000 0.000 0.500

---

## AlOsS2Cl (PBE)

Data for crystalline AlOsS2Cl at its relaxed geometry.

Summary:
- Crystal system: tetragonal
- Energy above the most stable polymorph in this dataset: 0 kJ/mol of formula units
- DFT total energy: -4.7118 eV per atom
- Raw formation energy: 1.515 eV per formula unit
- Calculated volume: 107.1 Å³/cell

Lattice parameters (Å, degrees): 4.574 4.574 5.117 90.00 90.00 90.00
Fractional coordinates of all 5 atoms:
S 0.000 0.500 0.000
S 0.500 0.000 0.000
Os 0.000 0.000 0.000
Al 0.500 0.500 0.500
Cl 0.000 0.000 0.500

---

## AlOsS2Cl (PBE)

Data for crystalline AlOsS2Cl at its relaxed geometry.

Summary:
- Crystal system: tetragonal
- Energy above the most stable polymorph in this dataset: 234 kJ/mol of formula units
- DFT total energy: -4.2261 eV per atom
- Raw formation energy: 3.944 eV per formula unit
- Calculated volume: 97.2 Å³/cell

Lattice parameters (Å, degrees): 4.667 4.667 4.465 90.00 90.00 90.00
Site moments in Bohr magnetons follow the coordinates.
Fractional coordinates of all 5 atoms:
S 0.000 0.500 0.000  0.10
S 0.500 0.000 0.000  0.10
Os 0.500 0.500 0.500  3.12
Al 0.000 0.000 0.000  0.00
Cl 0.000 0.000 0.500  0.09

---

## AlPCl4 (PBE)

Data for crystalline AlPCl4 at its relaxed geometry.

Summary:
- Crystal system: tetragonal
- Energy above the most stable polymorph in this dataset: 0 kJ/mol of formula units
- DFT total energy: -3.3793 eV per atom
- Raw formation energy: -3.737 eV per formula unit
- Calculated volume: 383.1 Å³/cell

Lattice parameters (Å, degrees): 5.373 5.373 13.269 90.00 90.00 90.00
Site moments in Bohr magnetons follow the coordinates.
Fractional coordinates of all 12 atoms:
P 0.000 0.000 0.500  0.80
P 0.000 0.000 0.000  0.80
Al 0.000 0.500 0.250  0.01
Al 0.500 0.000 0.750  0.01
Cl 0.229 0.264 0.345  0.04
Cl 0.771 0.736 0.345  0.04
Cl 0.264 0.771 0.655  0.04
Cl 0.736 0.229 0.655  0.04
Cl 0.771 0.264 0.155  0.04
Cl 0.229 0.736 0.155  0.04
Cl 0.736 0.771 0.845  0.04
Cl 0.264 0.229 0.845  0.04

---

## AlPCl (PBE)

Data for crystalline AlPCl at its relaxed geometry.

Summary:
- Crystal system: orthorhombic
- Energy above the most stable polymorph in this dataset: 122 kJ/mol of formula units
- DFT total energy: -3.9716 eV per atom
- Raw formation energy: -0.916 eV per formula unit
- Calculated volume: 157.8 Å³/cell

Lattice parameters (Å, degrees): 3.520 3.621 12.377 90.00 90.00 90.00
Fractional coordinates of all 6 atoms:
Al 0.000 0.500 0.801
Al 0.000 0.500 0.199
P 0.000 0.000 0.084
P 0.000 0.000 0.916
Cl 0.000 0.000 0.668
Cl 0.000 0.000 0.332

---

## AlPCl (PBE)

Data for crystalline AlPCl at its relaxed geometry.

Summary:
- Crystal system: orthorhombic
- Energy above the most stable polymorph in this dataset: 148 kJ/mol of formula units
- DFT total energy: -3.8793 eV per atom
- Raw formation energy: -0.639 eV per formula unit
- Calculated volume: 69.4 Å³/cell

Lattice parameters (Å, degrees): 7.824 7.519 3.250 83.07 72.57 24.36
Fractional coordinates of all 3 atoms:
P 0.613 0.613 0.387
Al 0.003 0.003 0.997
Cl 0.384 0.384 0.616

---

## AlPCl (PBE)

Data for crystalline AlPCl at its relaxed geometry.

Summary:
- Crystal system: trigonal
- Energy above the most stable polymorph in this dataset: 77 kJ/mol of formula units
- DFT total energy: -4.1259 eV per atom
- Raw formation energy: -1.379 eV per formula unit
- Calculated volume: 66.9 Å³/cell

Lattice parameters (Å, degrees): 3.307 3.307 7.064 90.00 90.00 120.00
Fractional coordinates of all 3 atoms:
P 0.333 0.667 0.781
Al 0.000 0.000 0.995
Cl 0.667 0.333 0.224